Material: CePmCu2
Method: DFT, PBE
State: relaxed

energy above the lowest structure with this stoichiometry	0.000	eV/atom
size of the total moment	0.0	μB/f.u.
energy of formation	-94	meV/atom
calculated total energy	-19.25	eV/f.u.

Cell lengths 4.0301, 4.0919, 10.7852 Å; angles 90.00, 100.75, 90.00 degrees
With the nearest neighbours (Å) after each atom.
Space group P2_1/m (No. 11)
Inequivalent atoms, fractional coordinates:
Ce: 0.0437 0.2500 0.0895 (multiplicity 2)  2 Ce 2.79, 6 Cu 2.94-3.05
Pm: 0.3075 0.7500 0.6135 (multiplicity 2)  7 Cu 3.00-3.30
Cu: 0.1500 0.7500 0.3025 (multiplicity 2)  2 Cu 2.58
Cu: 0.4261 0.2500 0.8499 (multiplicity 2)  2 Cu 2.58

Material: Ce2PmCu
Method: DFT, PBE
State: relaxed

energy above the lowest structure with this stoichiometry	0.220	eV/atom
size of the total moment	0.6	μB/f.u.
energy of formation	272	meV/atom
calculated total energy	-19.63	eV/f.u.

Cell lengths 3.2791, 3.2791, 33.2974 Å; angles 90.00, 90.00, 120.00 degrees
With the nearest neighbours (Å) after each atom.
Space group R-3m (No. 166, hexagonal axes)
Inequivalent atoms, fractional coordinates:
Ce: 0.0000 0.0000 0.0983 (multiplicity 6)  3 Cu 2.96, 1 Pm 3.27, 6 Ce 3.28
Pm: 0.0000 0.0000 0.0000 (multiplicity 3)  2 Ce 3.27, 6 Pm 3.28
Cu: 0.0000 0.0000 0.5000 (multiplicity 3)  6 Ce 2.96, 6 Cu 3.28

Material: Ce2PmCu4
Method: DFT, PBE
State: relaxed

size of the total moment	0.0	μB/f.u.
energy of formation	-124	meV/atom
calculated total energy	-33.87	eV/f.u.

Cell lengths 4.2736, 4.2736, 26.3799 Å; angles 90.00, 90.00, 120.00 degrees
With the nearest neighbours (Å) after each atom.
Space group R-3m (No. 166, hexagonal axes)
Inequivalent atoms, fractional coordinates:
Ce: 0.0000 0.0000 0.1380 (multiplicity 6)  3 Ce 2.89, 7 Cu 2.98-3.19
Pm: 0.0000 0.0000 0.0000 (multiplicity 3)  12 Cu 3.12-3.15
Cu: 0.0000 0.0000 0.2590 (multiplicity 6)  3 Cu 2.47
Cu: 0.0000 0.0000 0.4057 (multiplicity 6)  3 Cu 2.47

Material: CePm2Cu
Method: DFT, PBE
State: relaxed

energy above the lowest structure with this stoichiometry	0.139	eV/atom
size of the total moment	1.3	μB/f.u.
energy of formation	121	meV/atom
calculated total energy	-19.05	eV/f.u.

Cell lengths 3.6203, 3.6203, 30.4131 Å; angles 90.00, 90.00, 120.00 degrees
With the nearest neighbours (Å) after each atom.
Space group R3m (No. 160, hexagonal axes)
Inequivalent atoms, fractional coordinates:
Ce: 0.0000 0.0000 0.0000 (multiplicity 3)  6 Ce 3.62, 6 Pm 3.62-3.65
Pm: 0.0000 0.0000 0.5693 (multiplicity 3)  3 Cu 2.96
Pm: 0.0000 0.0000 0.7650 (multiplicity 3)  3 Cu 2.95
Cu: 0.0000 0.0000 0.1670 (multiplicity 3)  6 Pm 2.95-2.96

Material: Ce2PmCu6
Method: DFT, PBE
State: relaxed

size of the total moment	1.3	μB/f.u.
energy of formation	-163	meV/atom
calculated total energy	-42.66	eV/f.u.

Cell lengths 7.4868, 7.4868, 3.5588 Å; angles 90.00, 90.00, 120.00 degrees
With the nearest neighbours (Å) after each atom.
Space group P6/mmm (No. 191)
Inequivalent atoms, fractional coordinates:
Ce: 0.3333 0.6667 0.0000 (multiplicity 2)  12 Cu 3.06
Pm: 0.0000 0.0000 0.0000 (multiplicity 1)  12 Cu 3.07
Cu: 0.0000 0.3341 0.5000 (multiplicity 6)  3 Cu 2.48-2.50

Material: CePm2Cu
Method: DFT, PBE
State: relaxed

energy above the lowest structure with this stoichiometry	0.152	eV/atom
size of the total moment	0.0	μB/f.u.
energy of formation	134	meV/atom
calculated total energy	-18.99	eV/f.u.

Cell lengths 5.4451, 5.4451, 3.5274 Å; angles 90.00, 90.00, 90.00 degrees
With the nearest neighbours (Å) after each atom.
Space group P4/mmm (No. 123)
Inequivalent atoms, fractional coordinates:
Ce: 0.0000 0.0000 0.0000 (multiplicity 1)  8 Pm 3.24, 2 Ce 3.53
Pm: 0.0000 0.5000 0.5000 (multiplicity 2)  4 Ce 3.24, 4 Cu 3.24, 2 Pm 3.53
Cu: 0.5000 0.5000 0.0000 (multiplicity 1)  8 Pm 3.24, 2 Cu 3.53

Material: Ce2PmCu9
Method: DFT, PBE
State: relaxed

size of the total moment	1.0	μB/f.u.
energy of formation	-133	meV/atom
calculated total energy	-55.08	eV/f.u.

Cell lengths 5.1724, 5.1724, 25.3317 Å; angles 90.00, 90.00, 120.00 degrees
With the nearest neighbours (Å) after each atom.
Space group R-3m (No. 166, hexagonal axes)
Inequivalent atoms, fractional coordinates:
Ce: 0.0000 0.0000 0.1475 (multiplicity 6)  12 Cu 3.03-3.09, 3 Ce 3.14
Pm: 0.0000 0.0000 0.0000 (multiplicity 3)  18 Cu 2.99-3.29
Cu: 0.0000 0.0000 0.3315 (multiplicity 6)  6 Cu 2.50-2.55
Cu: 0.0000 0.0000 0.5000 (multiplicity 3)  6 Cu 2.63
Cu: 0.0049 0.5024 0.0806 (multiplicity 18)  7 Cu 2.50-2.63

Material: CePm2Cu9
Method: DFT, PBE
State: relaxed

size of the total moment	1.0	μB/f.u.
energy of formation	-123	meV/atom
calculated total energy	-53.78	eV/f.u.

Cell lengths 5.2440, 5.2440, 25.1111 Å; angles 90.00, 90.00, 120.00 degrees
With the nearest neighbours (Å) after each atom.
Space group R-3m (No. 166, hexagonal axes)
Inequivalent atoms, fractional coordinates:
Ce: 0.0000 0.0000 0.0000 (multiplicity 3)  18 Cu 3.03-3.32
Pm: 0.0000 0.0000 0.1437 (multiplicity 6)  12 Cu 3.06-3.13, 3 Pm 3.24
Cu: 0.0000 0.0000 0.3316 (multiplicity 6)  6 Cu 2.51-2.56
Cu: 0.0000 0.0000 0.5000 (multiplicity 3)  6 Cu 2.62
Cu: 0.0043 0.5022 0.0810 (multiplicity 18)  7 Cu 2.51-2.66

Material: CePm2Cu
Method: DFT, PBE
State: relaxed

energy above the lowest structure with this stoichiometry	0.000	eV/atom
size of the total moment	0.6	μB/f.u.
energy of formation	-18	meV/atom
calculated total energy	-19.60	eV/f.u.

Cell lengths 3.5734, 3.5734, 8.4581 Å; angles 90.00, 90.00, 90.00 degrees
With the nearest neighbours (Å) after each atom.
Space group P4/mmm (No. 123)
Inequivalent atoms, fractional coordinates:
Ce: 0.0000 0.0000 0.0000 (multiplicity 1)  8 Pm 3.54, 4 Ce 3.57
Pm: 0.5000 0.5000 0.2925 (multiplicity 2)  4 Cu 3.08
Cu: 0.0000 0.0000 0.5000 (multiplicity 1)  8 Pm 3.08

Material: Ce2PmCu
Method: DFT, PBE
State: relaxed

energy above the lowest structure with this stoichiometry	0.000	eV/atom
size of the total moment	0.6	μB/f.u.
energy of formation	52	meV/atom
calculated total energy	-20.51	eV/f.u.

Cell lengths 3.6185, 3.6185, 8.1739 Å; angles 90.00, 90.00, 90.00 degrees
With the nearest neighbours (Å) after each atom.
Space group P4/mmm (No. 123)
Inequivalent atoms, fractional coordinates:
Ce: 0.0000 0.0000 0.1899 (multiplicity 2)  4 Cu 2.99, 1 Ce 3.10
Pm: 0.5000 0.5000 0.5000 (multiplicity 1)  8 Ce 3.60, 4 Pm 3.62
Cu: 0.5000 0.5000 0.0000 (multiplicity 1)  8 Ce 2.99

Material: CePmCu2
Method: DFT, PBE
State: relaxed

energy above the lowest structure with this stoichiometry	0.018	eV/atom
size of the total moment	0.7	μB/f.u.
energy of formation	-76	meV/atom
calculated total energy	-19.18	eV/f.u.

Cell lengths 7.0971, 7.0971, 7.0971 Å; angles 90.00, 90.00, 90.00 degrees
With the nearest neighbours (Å) after each atom.
Space group Fm-3m (No. 225)
Inequivalent atoms, fractional coordinates:
Ce: 0.0000 0.0000 0.0000 (multiplicity 4)  8 Cu 3.07
Pm: 0.0000 0.0000 0.5000 (multiplicity 4)  8 Cu 3.07
Cu: 0.2500 0.2500 0.2500 (multiplicity 8)  4 Ce 3.07, 4 Pm 3.07

Material: CePmCu2
Method: DFT, PBE
State: relaxed

energy above the lowest structure with this stoichiometry	0.214	eV/atom
size of the total moment	1.1	μB/f.u.
energy of formation	120	meV/atom
calculated total energy	-18.39	eV/f.u.

Cell lengths 3.8241, 3.8241, 23.4142 Å; angles 90.00, 90.00, 120.00 degrees
With the nearest neighbours (Å) after each atom.
Space group R-3m (No. 166, hexagonal axes)
Inequivalent atoms, fractional coordinates:
Ce: 0.0000 0.0000 0.0000 (multiplicity 3)  6 Cu 2.93
Pm: 0.0000 0.0000 0.5000 (multiplicity 3)  6 Cu 2.96
Cu: 0.0000 0.0000 0.2509 (multiplicity 6)  3 Ce 2.93, 3 Pm 2.96

Going through the records in order, we get ρ values of 7.83, 7.85, 8.11, 7.12, 7.75, 7.84, 8.46, 8.35, 7.59, 7.58, 7.66, 6.92 Mg/m³.